## Sm3Dy2Ho (GGA-PBE)

Data for Sm3Dy2Ho after structural relaxation.

Cell: 6.222 6.222 11.580 Å, 90.00 90.00 60.01°
Sites, in units of the cell vectors:
Sm 0.000 0.000 0.000
Sm 0.000 0.000 0.500
Sm 0.334 0.334 0.000
Sm 0.334 0.334 0.500
Sm 0.666 0.666 0.000
Sm 0.666 0.666 0.500
Dy 0.000 0.334 0.250
Dy 0.000 0.666 0.750
Dy 0.334 0.000 0.750
Dy 0.666 0.000 0.250
Ho 0.333 0.667 0.250
Ho 0.667 0.333 0.750

Output
**ρ**: 8.0 Mg/m³
**Calculated total energy**: -4.660 eV/atom
**Total magnetization**: 0.0 μB per formula unit
**Density of states at the Fermi level**: 1.17 states/eV per atom
**Energy above the lowest structure with this stoichiometry**: 0.0 meV per atom

## CaZrP2O (GGA-PBE)

Data for CaZrP2O after structural relaxation.

Cell: 5.017 5.017 4.057 Å, 90.00 90.00 90.00°
Sites, in units of the cell vectors:
Ca 0.000 0.000 0.000
Zr 0.500 0.500 0.500
P 0.000 0.500 0.000
P 0.500 0.000 0.000
O 0.000 0.000 0.500

Output
**ρ**: 3.4 Mg/m³
**Calculated total energy**: -5.140 eV/atom
**Total magnetization**: 0.6 μB per formula unit
**Density of states at the Fermi level**: 0.91 states/eV per atom
**Energy above the lowest structure with this stoichiometry**: 1201.9 meV per atom
**Formation energy (no corrections)**: 0.6 eV per formula unit

## CeNdI2 (GGA-PBE)

Data for CeNdI2 after structural relaxation.

Cell: 10.015 10.015 10.015 Å, 22.34 22.34 22.34°
Sites, in units of the cell vectors:
Ce 0.000 0.000 0.000
Nd 0.836 0.836 0.836
I 0.252 0.252 0.252
I 0.419 0.419 0.419

Output
**ρ**: 7.0 Mg/m³
**Calculated total energy**: -4.258 eV/atom
**Total magnetization**: 1.3 μB per formula unit
**Density of states at the Fermi level**: 1.94 states/eV per atom
**Energy above the lowest structure with this stoichiometry**: 0.0 meV per atom
**Formation energy (no corrections)**: -3.2 eV per formula unit

## NpPaRu4 (GGA-PBE)

Data for NpPaRu4 after structural relaxation.

Cell: 5.302 5.302 5.302 Å, 60.00 60.00 60.00°
Sites, in units of the cell vectors:
Np 0.000 0.000 0.000
Pa 0.750 0.750 0.750
Ru 0.375 0.375 0.375
Ru 0.375 0.375 0.876
Ru 0.375 0.876 0.375
Ru 0.876 0.375 0.375

Output
**ρ**: 13.7 Mg/m³
**Calculated total energy**: -10.099 eV/atom
**Total magnetization**: 2.5 μB per formula unit
**Density of states at the Fermi level**: 1.55 states/eV per atom
**Energy above the lowest structure with this stoichiometry**: 0.0 meV per atom